Entry from the Alexandria database: an optimized crystal structure of Tb2SnBi (PBE). Values from VASP.

Quantum ESPRESSO input file:
```
&SYSTEM
  ibrav = 0, nat = 4, ntyp = 3
/
ATOMIC_SPECIES
Tb 158.93 Tb.upf
Sn 118.71 Sn.upf
Bi 208.98 Bi.upf
CELL_PARAMETERS angstrom
4.342 0.000 0.000
0.000 4.570 0.000
-2.178 0.000 5.894
ATOMIC_POSITIONS crystal
Tb 0.000 0.000 0.000
Tb 0.255 0.500 0.511
Sn 0.736 0.000 0.475
Bi 0.525 0.500 0.051
```

Density: 9.17 g/cm3
Formation enthalpy at 0 K: -2.81 eV per formula unit
E_tot: -4.99 eV per atom
Polymorph energy (0 for the lowest one): 92 meV/atom